This record from Alexandria via LeMat-Bulk describes an optimized crystal structure of NaSn3As. The functional is GGA-PBE.

abc: 5.539 5.539 5.539
angles: 90.00 90.00 90.00
Atoms (fractional coordinates):
Na 0.500 0.500 0.500
As 0.000 0.000 0.000
Sn 0.000 0.500 0.000
Sn 0.000 0.000 0.500
Sn 0.500 0.000 0.000

Output
Energy relative to the elements = 0.30 eV/atom
Polymorph energy (0 for the lowest one) = 0 meV per atom
Uncorrected energy = -3.293 eV per atom